Entry 1:
A geometry-optimized RbBiBr4 structure, computed with PBE.

```
12
Lattice="-0.5343 -7.2161 1.4013 -0.7095 -1.4764 8.7945 -8.6219 4.9041 -5.7499" Properties=species:S:1:pos:R:3 pbc="T T T"
Bi -1.3757 -1.7291 0.2627
Bi -8.4901 -2.0593 4.1831
Br -1.3915 -3.7700 2.3268
Br -8.4742 -0.0185 2.1190
Br -1.5677 -1.1949 7.0285
Br -5.9078 0.6219 -2.9536
Br -6.5616 -3.4936 2.7935
Br -8.2980 -2.5935 -2.5826
Br -3.3041 -0.2948 1.6523
Br -3.9579 -4.4103 7.3995
Rb -6.1362 -1.4418 -0.0731
Rb -3.7295 -2.3466 4.5189
```

- offset from the most stable computed form (meV/atom) = 0
- theoretical density (kg/m3) = 3563
- uncorrected formation energy (eV/atom) = -1.1044

Entry 2:
A geometry-optimized Rb12Bi3Br5 structure, computed with PBE.

```
80
Lattice="-14.6975 8.7365 5.9672 -4.8102 -11.8435 -12.8275 7.7743 -8.8351 13.7641" Properties=species:S:1:pos:R:3 pbc="T T T"
Br -0.2821 -4.8306 10.9574
Br -9.2040 -0.8384 10.6170
Br -7.3488 4.3682 2.9836
Br -11.1142 -4.1630 1.6198
Br 0.0000 0.0000 0.0000
Br -1.6974 -5.5580 -0.6234
Br -3.4616 -0.0493 9.8657
Br -11.4513 -7.1115 -4.0535
Br -5.7423 -0.7891 0.7513
Br -9.7539 -1.5535 -3.4301
Br -2.5295 -11.1037 -3.7132
Br -4.8219 -2.6588 14.9156
Br -0.6193 -7.7791 5.2841
Br -6.9115 -9.2833 -8.0118
Br -5.9911 -11.1531 6.1525
Br -5.8667 -5.9711 3.4519
Br 1.4821 -10.3393 0.4683
Br 3.8871 -4.4176 6.8821
Br -2.4051 -5.9217 -6.4138
Br -10.0360 -6.3841 7.5272
Rb -1.1897 -12.1840 -0.8915
Rb -2.1842 -3.1618 8.8311
Rb -5.8053 -6.7911 -6.1439
Rb -3.2728 -5.8857 5.8298
Rb -11.3668 -8.7007 5.5814
Rb -4.6375 -11.2674 -9.3593
Rb 0.3204 -9.7823 7.7393
Rb 1.8427 -13.4649 2.0465
Rb -15.4847 -0.1583 0.5194
Rb -8.4606 -6.0564 1.0741
Rb -0.9285 -10.1747 3.0280
Rb -3.7448 0.1456 6.3626
Rb -3.3014 -4.5098 -3.3165
Rb -16.1854 -3.9969 -6.1121
Rb -7.9886 -12.0877 0.5413
Rb -5.3420 -10.0445 -2.3377
Rb -3.8809 -14.9840 0.6989
Rb -0.3666 -3.2414 1.3224
Rb -10.8050 -1.7674 3.8758
Rb -12.0539 -2.1598 -0.8355
Rb -7.4902 -4.6750 6.2935
Rb -3.6775 -12.9296 4.5984
Rb -7.8525 3.0419 6.2049
Rb -8.4321 -7.4323 10.2203
Rb -9.2037 -4.7818 -4.7205
Rb -4.9014 -2.5866 3.3945
Rb -0.8740 -16.2120 3.6852
Rb -5.9281 -5.1511 13.0477
Rb -5.0438 -9.4950 8.8502
Rb -7.0959 -0.6747 16.2632
Rb -10.8595 4.2698 3.2186
Rb -6.3915 -1.8977 9.2415
Rb -2.5297 -7.1603 11.6244
Rb -9.5492 -8.7803 -1.9272
Rb 3.7513 -11.7838 6.3845
Rb -10.5437 0.2418 7.7953
Rb -8.9343 1.3495 13.0796
Rb -13.5761 1.5227 4.8573
Rb -14.3895 -6.0824 -2.9438
Rb -6.6896 -2.4471 -1.9463
Rb -8.0559 0.9874 2.3055
Rb 2.6561 -5.8598 9.8476
Rb -4.2432 -7.2671 0.6104
Rb -2.7991 -13.2916 -6.1758
Rb -6.8320 -9.3556 3.5094
Rb -13.1371 -6.6683 2.3647
Rb 1.4037 -5.2738 4.5391
Rb 4.4519 -7.9452 13.0159
Bi -11.5180 3.9552 7.0589
Bi -0.2154 -15.8973 -0.1551
Bi -6.5744 -6.3348 -2.3385
Bi -5.1591 -5.6074 9.2423
Bi -15.4962 -2.3426 -2.6788
Bi 3.7628 -9.5996 9.5827
Bi -10.3731 -9.3326 1.8539
Bi -11.8552 1.0067 1.3856
Bi -4.2603 -11.1284 1.2197
Bi 0.1218 -12.9488 5.5182
Bi -1.3603 -2.6095 5.0499
Bi -7.4731 -0.8138 5.6842
```

- theoretical density (kg/m3) = 2981
- uncorrected formation energy (eV/atom) = -0.9453

Entry 3:
A geometry-optimized RbBi2Br structure, computed with PBE.

```
8
Lattice="10.9578 0.0000 0.0000 0.0000 10.9578 0.0000 5.4789 5.4789 3.0009" Properties=species:S:1:pos:R:3 pbc="T T T"
Bi 3.1774 8.2184 0.7502
Bi 7.7804 2.7395 0.7502
Bi 8.2184 8.6563 2.2507
Bi 13.6973 13.2593 2.2507
Rb 0.0000 0.0000 0.0000
Rb 10.9578 5.4789 1.5005
Br 5.4789 10.9578 1.5005
Br 5.4789 5.4789 0.0000
```

- offset from the most stable computed form (meV/atom) = 0
- theoretical density (kg/m3) = 5376
- uncorrected formation energy (eV/atom) = -0.1560

Entry 4:
A geometry-optimized RbBi2Br7 structure, computed with PBE.

```
20
Lattice="7.8522 -0.0868 0.0505 2.1920 9.6536 -0.0376 1.1753 2.3597 10.4112" Properties=species:S:1:pos:R:3 pbc="T T T"
Br 2.5241 6.6948 1.7840
Br 4.9033 5.8099 9.6830
Br 8.6954 5.2318 8.6401
Br 3.6082 6.3145 5.6646
Br 6.3162 6.1167 0.7411
Br 10.3405 9.3096 8.3343
Br 5.7084 0.3317 0.5709
Br 6.4706 8.9018 7.0574
Br 2.0069 2.5578 5.8841
Br 5.5110 11.5949 9.8532
Br 7.6112 5.6121 4.7595
Br 4.7488 3.0248 3.3667
Br 0.8790 2.6170 2.0898
Br 9.2126 9.3688 4.5400
Rb 4.9204 9.2959 3.1381
Rb 6.2991 2.6307 7.2860
Bi 2.2349 4.3769 3.8909
Bi 8.9846 7.5497 6.5332
Bi 6.1160 3.0155 0.6614
Bi 5.1035 8.9111 9.7627
```

- offset from the most stable computed form (meV/atom) = 0
- theoretical density (kg/m3) = 4459
- uncorrected formation energy (eV/atom) = -0.9472

Entry 5:
A geometry-optimized Rb3Bi2Br9 structure, computed with PBE.

```
56
Lattice="8.4045 0.0000 0.0000 0.0000 13.7751 -0.0108 0.0000 0.1753 19.6615" Properties=species:S:1:pos:R:3 pbc="T T T"
Rb 0.6611 9.0391 1.5484
Rb 3.5412 2.1515 1.5538
Rb 4.8633 11.7989 18.0969
Rb 3.6359 7.0826 15.0103
Rb 0.5664 0.1950 15.0157
Rb 4.8943 2.5532 11.1773
Rb 0.6920 4.5097 8.4789
Rb 7.7125 9.4407 11.1718
Rb 4.7686 6.8679 4.6405
Rb 7.7435 4.9114 18.1023
Rb 7.8382 13.7554 4.6350
Rb 3.5103 11.3972 8.4734
Br 8.1536 6.3387 5.6109
Br 4.4532 13.2263 5.6055
Br 1.8639 12.6217 2.2538
Br 0.2510 7.6117 14.0398
Br 6.8756 5.6462 10.9745
Br 5.7578 13.1334 1.6925
Br 6.5406 1.3287 17.3969
Br 0.1264 11.8218 7.5236
Br 6.7792 10.0718 4.1276
Br 5.7312 12.5338 10.9691
Br 4.3286 9.0162 12.1216
Br 2.5769 10.7661 15.5177
Br 4.2732 4.4477 18.4555
Br 2.3383 5.7342 2.2592
Br 2.6467 0.8171 17.9582
Br 8.2782 2.1287 12.1271
Br 4.1313 9.5027 1.1952
Br 2.4943 9.5385 4.8961
Br 3.9513 0.7241 14.0452
Br 1.7080 2.6510 4.9015
Br 4.0759 4.9342 7.5291
Br 6.6189 1.8833 7.9783
Br 6.6965 11.2994 14.7492
Br 2.4166 5.1796 11.6778
Br 6.8490 6.2458 1.6979
Br 0.0710 2.6151 1.2006
Br 2.6733 1.4167 8.6816
Br 5.8276 3.1843 4.1331
Br 1.7857 12.0671 11.6724
Br 1.5289 8.3042 8.6762
Br 8.3336 11.3353 18.4501
Br 6.0662 8.2162 17.3915
Br 1.5555 7.7046 17.9528
Br 1.6254 3.8786 15.5231
Br 5.9103 4.4119 14.7546
Br 5.9879 8.7709 7.9729
Bi 8.3683 9.4227 16.4463
Bi 0.0682 4.7215 13.0557
Bi 4.2705 2.3414 6.6005
Bi 4.1661 11.4153 3.1990
Bi 0.0362 4.5277 3.2044
Bi 4.2385 2.5351 16.4517
Bi 4.1341 11.6091 13.0502
Bi 8.3363 9.2289 6.5951
```

- offset from the most stable computed form (meV/atom) = 0
- theoretical density (kg/m3) = 4066
- uncorrected formation energy (eV/atom) = -1.2183

Entry 6:
A geometry-optimized Rb2Bi2Br7 structure, computed with PBE.

```
11
Lattice="-0.4383 -2.6827 6.7933 8.9595 2.0187 0.6822 -5.3640 7.2595 1.8277" Properties=species:S:1:pos:R:3 pbc="T T T"
Br 1.7464 3.3195 6.6501
Br 5.0544 5.5168 3.4798
Br 0.0000 0.0000 0.0000
Br 0.2177 7.2865 3.8667
Br 2.9395 -0.6911 5.4365
Br -1.8972 1.0786 5.8234
Br 1.4108 3.2760 2.6531
Bi 2.5930 6.5267 2.5629
Bi 0.5642 0.0688 6.7403
Rb -1.3010 4.3513 4.8819
Rb 4.4582 2.2441 4.4213
```

- offset from the most stable computed form (meV/atom) = 3
- theoretical density (kg/m3) = 3347
- uncorrected formation energy (eV/atom) = -0.9860

Entry 7:
A geometry-optimized Rb2BiBr4 structure, computed with PBE.

```
7
Lattice="-0.3718 -1.9286 -5.6986 1.5762 -5.5413 1.7725 -8.8388 1.7759 3.1634" Properties=species:S:1:pos:R:3 pbc="T T T"
Br 0.7881 -2.7706 0.8862
Br -0.1859 -0.9643 -2.8493
Br -4.8340 -5.0279 -1.1709
Br -2.8003 -0.6660 0.4081
Rb -1.5752 -4.2528 -1.6458
Rb -6.0591 -1.4411 0.8830
Bi 0.0000 0.0000 0.0000
```

- offset from the most stable computed form (meV/atom) = 26
- theoretical density (kg/m3) = 3739
- uncorrected formation energy (eV/atom) = -1.1825

Entry 8:
A geometry-optimized Rb3BiBr6 structure, computed with PBE.

```
10
Lattice="-0.2778 8.4027 -2.0218 0.4123 2.4715 -8.2760 -6.9926 3.2832 -3.8852" Properties=species:S:1:pos:R:3 pbc="T T T"
Br -1.5338 9.0974 -8.7967
Br -1.7531 7.7829 -4.3952
Br -1.3860 4.6284 -7.7215
Br -5.3243 5.0601 -5.3863
Br -5.1050 6.3746 -9.7878
Br -5.4720 9.5290 -6.4615
Bi 0.0000 0.0000 0.0000
Rb -1.7145 3.5394 -3.5457
Rb -3.4290 7.0787 -7.0915
Rb -5.1435 10.6181 -10.6372
```

- offset from the most stable computed form (meV/atom) = 75
- theoretical density (kg/m3) = 3432
- uncorrected formation energy (eV/atom) = -1.3125

Entry 9:
A geometry-optimized Rb2BiBr4 structure, computed with PBE.

```
7
Lattice="8.2026 0.0000 0.0000 0.0000 8.2026 0.0000 -4.1013 -4.1013 4.4792" Properties=species:S:1:pos:R:3 pbc="T T T"
Br -2.0390 -2.0390 4.4756
Br 6.1403 2.0623 0.0036
Br 2.0623 6.1403 0.0036
Br 2.0390 2.0390 4.4756
Rb 4.1013 0.0000 2.2396
Rb 0.0000 4.1013 2.2396
Bi 4.1013 4.1013 0.0000
```

- offset from the most stable computed form (meV/atom) = 0
- theoretical density (kg/m3) = 3854
- uncorrected formation energy (eV/atom) = -1.2085

Entry 10:
A geometry-optimized Rb2BiBr5 structure, computed with PBE.

```
32
Lattice="-3.8089 4.8868 6.4182 -2.2556 -7.9031 4.6788 12.1223 0.5508 6.7745" Properties=species:S:1:pos:R:3 pbc="T T T"
Br 8.1470 4.1662 11.9251
Br -2.0892 -6.6316 5.9464
Br 0.7406 -1.2394 12.6002
Br 1.7064 -0.0360 5.5407
Br 7.2458 1.0086 13.7944
Br 2.6774 3.1318 7.5410
Br 4.3515 -2.4294 12.3308
Br 1.7762 -0.0258 9.4104
Br 4.2816 -2.4397 8.4611
Br -1.7275 2.5478 8.2497
Br 3.3804 -5.5973 10.3305
Br 8.6281 -0.8647 7.4778
Br -1.9219 0.0100 3.8692
Br 5.3172 -1.2260 5.2713
Br -1.1880 -3.4741 4.0771
Br 7.7853 -5.0133 9.6218
Br -2.5703 -1.6007 10.3937
Br 5.5103 1.3136 9.6541
Br 0.5475 -3.7790 8.2173
Br 7.9798 -2.4754 14.0023
Bi 3.8550 0.4498 7.3971
Bi 6.8190 -0.7859 16.2966
Bi -0.7612 -1.6795 1.5749
Bi 2.2028 -2.9152 10.4744
Rb 6.2745 -5.3462 12.9561
Rb 2.5717 -3.4228 5.1700
Rb 7.3660 -1.5220 10.6921
Rb -1.3081 -0.9435 7.1794
Rb 4.5776 4.7816 10.4375
Rb 3.4861 0.9573 12.7015
Rb -0.2167 2.8807 4.9154
Rb 1.4803 -7.2470 7.4340
```

- theoretical density (kg/m3) = 4415
- uncorrected formation energy (eV/atom) = -1.2678

Entry 11:
A geometry-optimized Rb3BiBr8 structure, computed with PBE.

```
12
Lattice="-7.0177 -2.6859 1.7975 -1.4362 -1.2578 -7.4865 7.2960 -5.5907 3.5263" Properties=species:S:1:pos:R:3 pbc="T T T"
Br 0.0519 -6.9729 -1.0414
Br -5.8812 -4.7408 -4.2650
Br 3.9297 -5.4887 -2.0347
Br 4.7233 -4.7936 2.1023
Br -1.2097 -2.5615 -1.1213
Br 0.8455 -6.2778 3.0955
Br -5.0875 -4.0457 -0.1280
Br -2.0033 -3.2566 -5.2582
Rb -1.9743 -5.1242 1.2397
Rb 0.8165 -4.4102 -3.4024
Rb -4.2269 -1.9719 -2.8445
Bi 0.0000 0.0000 0.0000
```

- theoretical density (kg/m3) = 3752
- uncorrected formation energy (eV/atom) = -0.9643

Entry 12:
A geometry-optimized RbBi2Br7 structure, computed with PBE.

```
10
Lattice="5.7320 0.0000 0.0000 0.0000 8.6651 0.1067 0.0000 -3.8140 7.7813" Properties=species:S:1:pos:R:3 pbc="T T T"
Br 2.8660 2.4255 3.9440
Br 2.8660 5.6312 5.3687
Br 0.0000 5.2265 2.2214
Br 0.0000 -0.3755 5.6666
Br 2.8660 2.6003 0.4404
Br 2.8660 2.2507 7.4476
Br 2.8660 -0.7801 2.5194
Bi 2.8660 4.9688 2.3799
Bi 2.8660 -0.1177 5.5081
Rb 0.0000 0.0000 0.0000
```

- offset from the most stable computed form (meV/atom) = 63
- theoretical density (kg/m3) = 4539
- uncorrected formation energy (eV/atom) = -0.8846